First-principles (PBE) data for a relaxed Ba2Sb2Pd crystal, as listed in the Alexandria database.

Unit cell a=12.8652 b=4.5742 c=12.5671 alpha=90.00 beta=110.20 gamma=90.00
Closest atoms and distances in Å follow each position.
Space group C2/m (No. 12)
Asymmetric unit:
Ba1 0.0822 0.0000 0.3979 x4  2 Pd 3.56, 6 Sb 3.59-3.71, 1 Ba 3.85
Ba2 0.1945 0.5000 0.1368 x4  7 Sb 3.59-3.70, 4 Pd 3.63-3.82
Sb1 0.0424 0.0000 0.9054 x4  2 Pd 2.66, 1 Sb 2.94
Sb2 0.1555 0.5000 0.6443 x4  1 Pd 2.66
Pd1 0.0748 0.5000 0.8130 x4  3 Sb 2.66

## Properties
The value obtained for the total magnetization is 0.0 Bohr magnetons per cell. For the formation energy without anion corrections, the calculation gives -4.579 eV per formula unit. As for the total energy: -4.37 eV per atom.


First-principles (PBE) data for a relaxed Na2H6Ir crystal, as listed in the Alexandria database.

Unit cell a=4.6109 b=4.6109 c=9.6220 alpha=90.00 beta=90.00 gamma=90.00
Closest atoms and distances in Å follow each position.
Space group P4_2/mnm (No. 136)
Asymmetric unit:
Na1 0.0000 0.0000 0.1648 x4  6 H 2.18-2.26
H1 0.1692 0.1692 0.3692 x8  1 Ir 1.67
H2 0.2434 0.2434 0.0000 x4  1 Ir 1.67
Ir1 0.0000 0.0000 0.5000 x2  6 H 1.67

## Properties
The value obtained for the total magnetization is 1.9 Bohr magnetons per cell. As for the total energy: -3.54 eV per atom.


First-principles (PBE) data for a relaxed CaZrW2 crystal, as listed in the Alexandria database.

Unit cell a=4.0330 b=4.0330 c=4.8585 alpha=90.00 beta=90.00 gamma=90.00
Closest atoms and distances in Å follow each position.
Space group P4/mmm (No. 123)
Asymmetric unit:
Ca1 0.0000 0.0000 0.0000 x1  4 Zr 2.85, 8 W 3.16
Zr1 0.5000 0.5000 0.0000 x1  4 Ca 2.85, 8 W 3.16
W1 0.0000 0.5000 0.5000 x2  4 W 2.85, 4 Zr 3.16, 4 Ca 3.16

## Properties
As for the formation energy: 0.836 eV/atom. The value obtained for the total magnetization is 0.0 Bohr magnetons per cell. As for the total energy: -8.28 eV per atom.


First-principles (PBE) data for a relaxed TlNiSe2 crystal, as listed in the Alexandria database.

Unit cell a=5.3562 b=8.0378 c=4.1083 alpha=90.00 beta=90.00 gamma=90.00
Closest atoms and distances in Å follow each position.
Space group Cmmm (No. 65)
Asymmetric unit:
Tl1 0.0000 0.0000 0.0000 x2  2 Ni 2.68
Ni1 0.0000 0.5000 0.0000 x2  2 Tl 2.68
Se1 0.2500 0.2500 0.5000 x4  2 Se 2.68

## Properties
The value obtained for the total magnetization is 2.3 Bohr magnetons per cell. For the formation energy without anion corrections, the calculation gives 1.433 eV per formula unit. As for the total energy: -3.42 eV per atom.


First-principles (PBE) data for a relaxed DyUPt4 crystal, as listed in the Alexandria database.

Unit cell a=7.6865 b=7.6865 c=7.6865 alpha=90.00 beta=90.00 gamma=90.00
Closest atoms and distances in Å follow each position.
Space group F-43m (No. 216)
Asymmetric unit:
Dy1 0.0000 0.0000 0.0000 x4  12 Pt 3.19, 4 U 3.33
U1 0.2500 0.2500 0.7500 x4  12 Pt 3.19, 4 Dy 3.33
Pt1 0.1251 0.1251 0.3749 x16  6 Pt 2.71-2.72

## Properties
As for the formation energy: -0.852 eV/atom. The value obtained for the total magnetization is 10.3 Bohr magnetons per cell. As for the total energy: -7.53 eV per atom.


First-principles (PBE) data for a relaxed Mn2Al2Pb crystal, as listed in the Alexandria database.

Unit cell a=7.5176 b=7.5176 c=2.9999 alpha=90.00 beta=90.00 gamma=90.00
Closest atoms and distances in Å follow each position.
Space group P4/mbm (No. 127)
Asymmetric unit:
Mn1 0.1238 0.3762 0.0000 x4  1 Mn 2.63, 6 Al 2.67-2.69
Al1 0.1666 0.6666 0.5000 x4  6 Mn 2.67-2.69
Pb1 0.0000 0.0000 0.0000 x2  4 Mn 2.98, 2 Pb 3.00, 8 Al 3.18

## Properties
As for the formation energy: 0.173 eV/atom. The value obtained for the total magnetization is 10.9 Bohr magnetons per cell. As for the total energy: -5.73 eV per atom.